No. 1
LiTbCu10 | PBE | optimized geometry

```
12
Lattice="-0.3362 -0.3311 4.0641 -2.5054 -4.2346 -0.5522 7.3632 -4.3892 0.2516" Properties=species:S:1:pos:R:3 pbc="T T T"
Li 2.4289 -4.3119 -0.1503
Tb 0.0000 0.0000 0.0000
Cu 2.5214 -1.5030 0.0862
Cu 4.7689 -5.7068 -0.0704
Cu 0.0889 -2.9171 -0.2303
Cu 4.8418 -2.8862 0.1654
Cu 3.5135 -2.3602 2.1579
Cu -1.4208 -2.2829 1.7560
Cu 1.0532 -2.3110 1.9583
Cu 3.4684 -6.6439 1.8052
Cu -0.2122 -4.4499 1.6794
Cu 4.7338 -4.5050 2.0841
```

Results
As for the symmetry: No. 47. The calculation puts the density of states at the Fermi level at 0.480 states/eV/atom. For the spin magnetization, the calculation gives 0.0 μB per formula unit. For the formation enthalpy at 0 K, the calculation gives -0.09 eV per atom.

=====

No. 2
TbTm3Cd4 | PBE | optimized geometry

```
16
Lattice="-4.2080 -1.9469 -2.3988 -1.8491 -3.7094 6.2543 -5.6181 8.1983 3.2014" Properties=species:S:1:pos:R:3 pbc="T T T"
Tm 0.0000 0.0000 0.0000
Tm -2.8090 4.0992 1.6007
Tm -6.3193 5.1745 1.2007
Tm -3.5068 1.0769 -0.3981
Tm -7.2430 3.3201 4.3283
Tm -4.4321 -0.7781 2.7287
Tb -0.9245 -1.8547 3.1272
Tb -3.7336 2.2444 4.7279
Cd -3.4983 -3.7706 3.5168
Cd -6.3074 0.3285 5.1175
Cd -2.5587 -1.8857 0.3387
Cd -5.3678 2.2134 1.9395
Cd -5.6091 3.3515 7.1154
Cd -7.0051 -2.6932 3.1176
Cd -6.0661 -0.8095 -0.0585
Cd -4.6701 5.2352 3.9394
```

Results
As for the symmetry: No. 123. The calculation puts the density of states at the Fermi level at 0.888 states/eV/atom. For the spin magnetization, the calculation gives 0.0 μB per formula unit. For the formation enthalpy at 0 K, the calculation gives -0.31 eV per atom.